Crystalline GePd4 at its relaxed geometry. Source: Alexandria, functional PBE-GGA.

```
data_GePd4
_space_group_name_H-M_alt 'P m -3 m'
_space_group_IT_number 221
_space_group_name_Hall '-P 4 2 3'
_cell_length_a 4.592
_cell_length_b 4.592
_cell_length_c 4.592
_cell_angle_alpha 90.00
_cell_angle_beta 90.00
_cell_angle_gamma 90.00
loop_
_atom_site_label
_atom_site_type_symbol
_atom_site_fract_x
_atom_site_fract_y
_atom_site_fract_z
Ge1 Ge 0.000 0.000 0.000
Pd1 Pd 0.000 0.000 0.500
Pd2 Pd 0.500 0.500 0.500
```

Computed properties:
- E above lowest polymorph (meV/atom) = 689
- calculated formation energy (eV per formula unit) = 1.7
- density of states at the Fermi level (states/eV/cell) = 4.38